Entry from the Alexandria database: CaSb2Se after structural relaxation (PBE).

abc: 8.034 8.034 8.034
angles: 151.53 150.75 41.27
Sites, in units of the cell vectors:
Ca: 0.000 0.000 0.000
Sb: 0.209 0.709 0.500
Sb: 0.791 0.291 0.500
Se: 0.500 0.500 0.000

Summary:
N(E_F) ... 0.381 states/eV/atom
Uncorrected energy ... -16.5 eV for the cell shown
Total magnetization ... 0.0 Bohr magnetons per cell



Entry from the Alexandria database: CaLaICl2 after structural relaxation (PBE).

abc: 5.576 5.576 6.446
angles: 90.00 90.00 90.00
Sites, in units of the cell vectors:
Ca: 0.000 0.000 0.000
La: 0.500 0.500 0.500
I: 0.500 0.500 0.000
Cl: 0.000 0.500 0.500
Cl: 0.500 0.000 0.500

Summary:
N(E_F) ... 1.274 states/eV/atom
Uncorrected energy ... -18.7 eV for the cell shown
Total magnetization ... 0.1 Bohr magnetons per cell



Entry from the Alexandria database: Ta2NiRh after structural relaxation (PBE).

abc: 4.803 4.803 4.803
angles: 131.47 131.47 71.06
Sites, in units of the cell vectors:
Ta: 0.250 0.750 0.500
Ta: 0.750 0.250 0.500
Ni: 0.000 0.000 0.000
Rh: 0.500 0.500 0.000

Summary:
Formation energy ... -0.32 eV per atom
N(E_F) ... 0.606 states/eV/atom
Uncorrected energy ... -38.1 eV for the cell shown
Total magnetization ... 0.0 Bohr magnetons per cell



> What is the formula in the second record?

CaLaICl2